Entry from Alexandria: a geometry-optimized MgZrTlCd structure (PBE-GGA).

* formation enthalpy at 0 K: 0.054 eV/atom
* distance to the lowest polymorph of the same formula: 17.5 kJ per mole of atoms
* E_tot: -3.302 eV/atom
* mass density: 7.97 g cm⁻³

```
MgZrTlCd
1.0
0.0000 3.5586 3.5586
3.5586 0.0000 3.5586
3.5586 3.5586 0.0000
Mg Zr Tl Cd
1 1 1 1
direct
0.0000 0.0000 0.0000
0.5000 0.5000 0.5000
0.7500 0.7500 0.7500
0.2500 0.2500 0.2500
```